Below is a relaxed Sn2O crystal, with properties calculated at the GGA-PBE level.

As for the calculated volume: 76 Å³/cell. For the total energy, the calculation gives -4.795 eV/atom. As for the density of states at the Fermi level: 0.353 states/eV/atom. As for the crystal system: tetragonal. The uncorrected formation energy comes out at -0.473 eV/atom. Its density is 5.5 g/cm3.

The space group is P4/mmm (No. 123) and the conventional cell measures 3.209, 3.209 and 7.412 Å, with angles of 90.00, 90.00 and 90.00 degrees. The distinct sites, in fractional coordinates, are Sn at (0.000, 0.000, 0.233) and O at (0.000, 0.000, 0.500).